Entry from the Alexandria database: a relaxed structure of Na2TeMo2 (PBE-GGA).

Results
Raw formation energy (meV per atom): 960.5
E above lowest polymorph (meV/atom): 404
Raw total energy (eV/atom): -4.528
M_tot (μB/cell): 2.22

Cell lengths 3.899, 3.899, 15.263 Å; angles 90.00, 90.00, 90.00 degrees
Space group I4/mmm (No. 139)
Inequivalent atoms, fractional coordinates:
Na  0.000  0.500  0.250
Te  0.000  0.000  0.000
Mo  0.000  0.000  0.427

---

Entry from the Alexandria database: a relaxed structure of Cs5K4Cd2 (PBE-GGA).

Results
Energy of formation (eV/atom): 0.0377
Raw total energy (eV/atom): -0.916
M_tot (μB/cell): 0.00

Cell lengths 30.718, 4.935, 11.504 Å; angles 90.00, 94.92, 90.00 degrees
Space group C2/m (No. 12)
Inequivalent atoms, fractional coordinates:
Cs  0.000  0.000  0.000
Cs  0.098  0.500  0.739
Cs  0.190  0.500  0.102
K  0.061  0.500  0.351
K  0.191  0.000  0.489
Cd  0.224  0.500  0.734

---

Entry from the Alexandria database: a relaxed structure of CaGa3Au (PBE-GGA).

Results
Energy of formation (eV/atom): -0.0181
Raw total energy (eV/atom): -2.890
M_tot (μB/cell): 0.00

Cell lengths 5.048, 5.048, 5.048 Å; angles 90.00, 90.00, 90.00 degrees
Space group Pm-3m (No. 221)
Inequivalent atoms, fractional coordinates:
Ca  0.000  0.000  0.000
Ga  0.000  0.500  0.500
Au  0.500  0.500  0.500

---

Entry from the Alexandria database: a relaxed structure of Ac4PPtCl2 (PBE-GGA).

Results
Raw formation energy (meV per atom): -1446.6
Raw total energy (eV/atom): -5.394
M_tot (μB/cell): 0.00

Cell lengths 7.637, 4.341, 7.964 Å; angles 90.00, 108.76, 90.00 degrees
Space group P2/m (No. 10)
Inequivalent atoms, fractional coordinates:
Ac  0.220  0.000  0.233
Ac  0.230  0.500  0.740
P  0.000  0.000  0.500
Pt  0.000  0.500  0.000
Cl  0.500  0.000  0.000
Cl  0.500  0.500  0.500

---

Entry from the Alexandria database: a relaxed structure of Ti5Mn3 (PBE-GGA).

Results
E above lowest polymorph (meV/atom): 128
Energy of formation (eV/atom): -0.0477
Raw total energy (eV/atom): -8.421
M_tot (μB/cell): 2.05

Cell lengths 7.1397, 7.1397, 5.2786 Å; angles 90.00, 90.00, 120.00 degrees
Space group P6_3/mcm (No. 193)
Inequivalent atoms, fractional coordinates:
Ti  0.0000  0.2354  0.2500
Ti  0.3333  0.6667  0.0000
Mn  0.0000  0.4035  0.7500

---

Entry from the Alexandria database: a relaxed structure of BaAcGeBr (PBE-GGA).

Results
Raw formation energy (meV per atom): -961.1
E above lowest polymorph (meV/atom): 171
Raw total energy (eV/atom): -4.041
M_tot (μB/cell): 0.00

Cell lengths 8.030, 8.030, 8.030 Å; angles 90.00, 90.00, 90.00 degrees
Space group F-43m (No. 216)
Inequivalent atoms, fractional coordinates:
Ba  0.000  0.000  0.000
Ac  0.000  0.000  0.500
Ge  0.250  0.250  0.250
Br  0.250  0.250  0.750

---

Entry from the Alexandria database: a relaxed structure of PS2BrF (PBE-GGA).

Results
Raw formation energy (meV per atom): 925.7
E above lowest polymorph (meV/atom): 0
Raw total energy (eV/atom): -2.516
M_tot (μB/cell): 1.08

Cell lengths 5.331, 5.331, 3.610 Å; angles 90.00, 90.00, 90.00 degrees
Space group P4/mmm (No. 123)
Inequivalent atoms, fractional coordinates:
P  0.000  0.000  0.000
S  0.000  0.500  0.500
Br  0.500  0.500  0.000
F  0.000  0.000  0.500

---

Entry from the Alexandria database: a relaxed structure of ZrIn3Cl7 (PBE-GGA).

Results
Raw formation energy (meV per atom): -1283.5
Raw total energy (eV/atom): -3.983
M_tot (μB/cell): 0.00

Cell lengths 11.060, 9.375, 8.335 Å; angles 90.00, 120.85, 90.00 degrees
Space group Cm (No. 8)
Inequivalent atoms, fractional coordinates:
Zr  0.000  0.000  0.000
In  0.491  0.286  0.507
In  0.497  0.000  0.957
Cl  0.136  0.192  0.226
Cl  0.165  0.000  0.877
Cl  0.330  0.500  0.110
Cl  0.358  0.312  0.759
Cl  0.493  0.000  0.606

---

Entry from the Alexandria database: a relaxed structure of K2HfCl2 (PBE-GGA).

Results
Raw formation energy (meV per atom): -237.5
E above lowest polymorph (meV/atom): 134
Raw total energy (eV/atom): -3.406
M_tot (μB/cell): 4.00

Cell lengths 5.764, 5.764, 11.971 Å; angles 90.00, 90.00, 90.00 degrees
Space group I4/mmm (No. 139)
Inequivalent atoms, fractional coordinates:
K  0.000  0.000  0.168
Hf  0.000  0.000  0.500
Cl  0.000  0.500  0.250

---

Entry from the Alexandria database: a relaxed structure of KZnSe2 (PBE-GGA).

Results
Raw formation energy (meV per atom): -101.1
Raw total energy (eV/atom): -2.436
M_tot (μB/cell): 0.00

Cell lengths 4.231, 4.231, 10.768 Å; angles 90.00, 90.00, 90.00 degrees
Space group I-4m2 (No. 119)
Inequivalent atoms, fractional coordinates:
K  0.000  0.000  0.000
Zn  0.000  0.500  0.250
Se  0.000  0.000  0.500
Se  0.000  0.500  0.750

---

Entry from the Alexandria database: a relaxed structure of ZrBr2O (PBE-GGA).

Results
Raw formation energy (meV per atom): 307.0
Raw total energy (eV/atom): -3.906
M_tot (μB/cell): 5.53

Cell lengths 3.6395, 3.6395, 25.9779 Å; angles 90.00, 90.00, 120.00 degrees
Space group R-3m (No. 166, hexagonal axes)
Inequivalent atoms, fractional coordinates:
Zr  0.0000  0.0000  0.0000
Br  0.0000  0.0000  0.0960
O  0.0000  0.0000  0.5000

---

Entry from the Alexandria database: a relaxed structure of AcY2ScSe6 (PBE-GGA).

Results
Raw formation energy (meV per atom): -1817.1
Raw total energy (eV/atom): -6.245
M_tot (μB/cell): 0.00

Cell lengths 7.2866, 7.2866, 19.3996 Å; angles 90.00, 90.00, 120.00 degrees
Space group R3 (No. 146, hexagonal axes)
Inequivalent atoms, fractional coordinates:
Ac  0.0000  0.0000  0.0000
Y  0.0000  0.0000  0.2850
Y  0.0000  0.0000  0.7962
Sc  0.0000  0.0000  0.4823
Se  0.0225  0.3413  0.5530
Se  0.0290  0.6254  0.0557